Computed, not measured: TaGaNiRu after structural relaxation at the PBE level of DFT.

energy above the most stable polymorph in this dataset: 0.000 eV per atom
SG: I-4m2
D(E_F): 1.220 states/eV/f.u.
raw total energy: -7.870 eV per atom

a b c (Å): 4.5787 4.5787 4.5787
angles (deg): 128.54 128.54 75.75
Last column: nearest neighbours and their distance in Å.
Sites, in units of the cell vectors:
1 Ta 0.0000 0.0000 0.0000  4 Ni 2.69, 4 Ru 2.69, 4 Ga 2.81
2 Ga 0.5000 0.5000 0.0000  4 Ni 2.69, 4 Ru 2.69, 4 Ta 2.81
3 Ni 0.7500 0.2500 0.5000  4 Ga 2.69, 4 Ta 2.69, 4 Ru 2.81
4 Ru 0.2500 0.7500 0.5000  4 Ga 2.69, 4 Ta 2.69, 4 Ni 2.81